1.
Here is a relaxed AlTc2Rh crystal from Alexandria via LeMat-Bulk. Energies are from PBE.

abc: 3.6831 3.6831 8.4528
angles: 90.00 90.00 90.00
Space group I4/mmm (No. 139)
Inequivalent atoms, fractional coordinates:
Al 0.0000 0.0000 0.0000 (multiplicity 2)
Tc 0.0000 0.5000 0.2500 (multiplicity 4)
Rh 0.0000 0.0000 0.5000 (multiplicity 2)

The calculation puts the total magnetic moment at 0.0 Bohr magnetons per cell. Its total DFT energy (no corrections) is -8.237 eV/atom. For the formation energy, the calculation gives -281 meV per atom. For the density, the calculation gives 9.44 g/cm³.

2.
Here is a relaxed AlTc2Rh crystal from Alexandria via LeMat-Bulk. Energies are from PBE.

abc: 2.7912 4.1109 5.0522
angles: 90.00 90.00 90.00
Space group Pmmm (No. 47)
Inequivalent atoms, fractional coordinates:
Al 0.0000 0.0000 0.0000 (multiplicity 1)
Tc 0.5000 0.5000 0.2350 (multiplicity 2)
Rh 0.0000 0.0000 0.5000 (multiplicity 1)

The calculation puts the total magnetic moment at 0.0 Bohr magnetons per cell. Its total DFT energy (no corrections) is -8.155 eV/atom. For the formation energy, the calculation gives -198 meV per atom. For the density, the calculation gives 9.33 g/cm³.

3.
Here is a relaxed AlTcRh2 crystal from Alexandria via LeMat-Bulk. Energies are from PBE.

abc: 3.8888 3.8888 7.5375
angles: 90.00 90.00 90.00
Space group I4/mmm (No. 139)
Inequivalent atoms, fractional coordinates:
Al 0.0000 0.0000 0.0000 (multiplicity 2)
Tc 0.0000 0.0000 0.5000 (multiplicity 2)
Rh 0.0000 0.5000 0.2500 (multiplicity 4)

The calculation puts the total magnetic moment at 2.2 Bohr magnetons per cell. Its total DFT energy (no corrections) is -7.597 eV/atom. For the formation energy, the calculation gives -394 meV per atom. For the density, the calculation gives 9.64 g/cm³.

4.
Here is a relaxed AlTcRh2 crystal from Alexandria via LeMat-Bulk. Energies are from PBE.

abc: 3.9269 3.9269 3.7176
angles: 90.00 90.00 90.00
Space group P4/mmm (No. 123)
Inequivalent atoms, fractional coordinates:
Al 0.0000 0.0000 0.0000 (multiplicity 1)
Tc 0.5000 0.5000 0.0000 (multiplicity 1)
Rh 0.0000 0.5000 0.5000 (multiplicity 2)

The calculation puts the total magnetic moment at 1.2 Bohr magnetons per cell. Its total DFT energy (no corrections) is -7.448 eV/atom. For the formation energy, the calculation gives -245 meV per atom. For the density, the calculation gives 9.58 g/cm³.